1.
Entry from Alexandria: a geometry-optimized Mn2Pd8Au3 structure (PBE-GGA).

Geometry as POSCAR:
```
Mn2Pd8Au3
1.0
5.178 0.000 0.000
2.589 4.484 0.000
2.589 1.495 9.705
Au Pd Mn
3 8 2
Direct
0.817 0.817 0.549
0.000 0.000 0.000
0.183 0.183 0.451
0.734 0.734 0.299
0.278 0.278 0.167
0.232 0.734 0.299
0.722 0.722 0.833
0.266 0.768 0.701
0.768 0.266 0.701
0.734 0.232 0.299
0.266 0.266 0.701
0.361 0.361 0.917
0.639 0.639 0.083
```

Calculated values
Its calculated density is 11.439 g cm⁻³. Its formation energy is 1.5 eV per formula unit. Its total energy is -5.25 eV per atom. The space group is R-3m.



2.
Entry from Alexandria: a geometry-optimized Mn3PdAu structure (PBE-GGA).

Geometry as POSCAR:
```
Mn3PdAu
1.0
-4.582 -0.368 -1.396
1.326 -2.911 -3.584
-0.572 -3.804 2.878
Au Mn Pd
1 3 1
Direct
0.500 0.500 0.500
0.000 0.500 0.000
0.500 0.000 0.000
0.000 0.000 0.500
0.000 0.000 0.000
```

Calculated values
Its calculated density is 7.011 g cm⁻³. Its formation energy is 4.1 eV per formula unit. Its total energy is -6.37 eV per atom. The space group is Pm-3m. The calculation puts the energy relative to the lowest polymorph listed for this composition at 0 meV/atom.



3.
Entry from Alexandria: a geometry-optimized Mn2Pd5Au2 structure (PBE-GGA).

Geometry as POSCAR:
```
Mn2Pd5Au2
1.0
-1.984 4.691 4.461
-3.182 3.994 -5.614
-3.234 -5.400 4.240
Au Mn Pd
4 4 10
Direct
0.000 0.792 0.208
0.500 0.292 0.708
0.500 0.708 0.292
0.000 0.208 0.792
0.359 0.141 0.141
0.859 0.359 0.359
0.141 0.641 0.641
0.641 0.859 0.859
0.000 0.000 0.000
0.660 0.282 0.035
0.840 0.535 0.782
0.160 0.218 0.465
0.500 0.500 0.500
0.840 0.782 0.535
0.160 0.465 0.218
0.340 0.965 0.718
0.660 0.035 0.282
0.340 0.718 0.965
```

Calculated values
Its calculated density is 11.124 g cm⁻³. Its formation energy is 0.4 eV per formula unit. Its total energy is -5.61 eV per atom. The space group is Cmce. The calculation puts the energy relative to the lowest polymorph listed for this composition at 0 meV/atom.